(1)
A plane-wave DFT calculation with GGA-PBE was carried out for a geometry-optimized RbSeBr3 structure.

## Properties
uncorrected formation energy	-17.5	kcal/mol of atoms

Lattice parameters (Å, degrees): 5.508 8.885 7.915 90.00 99.59 90.00
Space group P2_1/m (No. 11)
Inequivalent atoms, fractional coordinates:
Rb 0.222 0.250 0.148 (multiplicity 2)
Se 0.000 0.000 0.500 (multiplicity 2)
Br 0.214 0.750 0.423 (multiplicity 2)
Br 0.267 0.504 0.807 (multiplicity 4)

***

(2)
A plane-wave DFT calculation with GGA-PBE was carried out for a geometry-optimized TbHo2Er5Mg structure.

## Properties
energy relative to the elements	1.0	eV per formula unit
DOS at the Fermi energy	50.2	states/eV per cell

Lattice parameters (Å, degrees): 5.366 19.889 10.381 90.00 90.00 90.00
Space group Cmc2_1 (No. 36)
Inequivalent atoms, fractional coordinates:
Tb 0.000 0.206 0.000 (multiplicity 4)
Ho 0.000 0.115 0.288 (multiplicity 4)
Ho 0.000 0.115 0.713 (multiplicity 4)
Er 0.000 0.013 0.000 (multiplicity 4)
Er 0.000 0.290 0.299 (multiplicity 4)
Er 0.000 0.290 0.701 (multiplicity 4)
Er 0.000 0.383 0.000 (multiplicity 4)
Er 0.000 0.500 0.250 (multiplicity 4)
Mg 0.000 0.405 0.499 (multiplicity 4)

***

(3)
A plane-wave DFT calculation with GGA-PBE was carried out for a geometry-optimized La5In2Ga structure.

## Properties
energy relative to the elements	-3.5	eV per formula unit
DOS at the Fermi energy	14.5	states/eV per cell

Lattice parameters (Å, degrees): 6.942 13.493 5.412 90.00 90.00 90.00
Space group Pbam (No. 55)
Inequivalent atoms, fractional coordinates:
La 0.000 0.000 0.000 (multiplicity 2)
La 0.140 0.280 0.000 (multiplicity 4)
La 0.145 0.590 0.500 (multiplicity 4)
In 0.113 0.848 0.500 (multiplicity 4)
Ga 0.000 0.500 0.000 (multiplicity 2)

***

(4)
A plane-wave DFT calculation with GGA-PBE was carried out for a geometry-optimized Sc2CuNi2 structure.

## Properties
energy relative to the elements	-0.6	eV per formula unit
DOS at the Fermi energy	5.7	states/eV per cell

Lattice parameters (Å, degrees): 7.342 7.342 3.010 90.00 90.00 90.00
Space group P4/mbm (No. 127)
Inequivalent atoms, fractional coordinates:
Sc 0.158 0.342 0.000 (multiplicity 4)
Cu 0.000 0.000 0.000 (multiplicity 2)
Ni 0.135 0.635 0.500 (multiplicity 4)

***

(5)
A plane-wave DFT calculation with GGA-PBE was carried out for a geometry-optimized Be2POsPd structure.

## Properties
energy relative to the elements	5.9	eV per formula unit
DOS at the Fermi energy	4.2	states/eV per cell

Lattice parameters (Å, degrees): 4.190 4.190 4.850 90.00 90.00 90.00
Space group P4/mmm (No. 123)
Inequivalent atoms, fractional coordinates:
Be 0.000 0.500 0.000 (multiplicity 2)
P 0.000 0.000 0.500 (multiplicity 1)
Os 0.500 0.500 0.000 (multiplicity 1)
Pd 0.500 0.500 0.500 (multiplicity 1)

***

(6)
A plane-wave DFT calculation with GGA-PBE was carried out for a geometry-optimized Tl5Pb2Au4 structure.

## Properties
energy relative to the elements	0.2	eV per formula unit
DOS at the Fermi energy	12.3	states/eV per cell

Lattice parameters (Å, degrees): 22.545 3.624 8.011 90.00 106.68 90.00
Space group C2/m (No. 12)
Inequivalent atoms, fractional coordinates:
Tl 0.000 0.000 0.000 (multiplicity 2)
Tl 0.171 0.500 0.979 (multiplicity 4)
Tl 0.173 0.500 0.407 (multiplicity 4)
Pb 0.074 0.000 0.636 (multiplicity 4)
Au 0.036 0.500 0.312 (multiplicity 4)
Au 0.215 0.000 0.723 (multiplicity 4)

***

(7)
A plane-wave DFT calculation with GGA-PBE was carried out for a geometry-optimized Hf2Tc2C3 structure.

## Properties
energy relative to the elements	-3.5	eV per formula unit
DOS at the Fermi energy	2.9	states/eV per cell

Lattice parameters (Å, degrees): 10.881 3.149 5.473 90.00 109.44 90.00
Space group C2/m (No. 12)
Inequivalent atoms, fractional coordinates:
Hf 0.112 0.000 0.341 (multiplicity 4)
Tc 0.154 0.500 0.840 (multiplicity 4)
C 0.000 0.500 0.500 (multiplicity 2)
C 0.241 0.500 0.249 (multiplicity 4)

***

(8)
A plane-wave DFT calculation with GGA-PBE was carried out for a geometry-optimized Y5Ho2Tm6 structure.

## Properties
energy relative to the elements	1.3	eV per formula unit
DOS at the Fermi energy	34.6	states/eV per cell

Lattice parameters (Å, degrees): 11.518 20.106 3.552 90.00 90.00 90.00
Space group Pbam (No. 55)
Inequivalent atoms, fractional coordinates:
Y 0.000 0.000 0.000 (multiplicity 2)
Y 0.089 0.273 0.000 (multiplicity 4)
Y 0.198 0.550 0.000 (multiplicity 4)
Ho 0.168 0.710 0.500 (multiplicity 4)
Tm 0.061 0.419 0.500 (multiplicity 4)
Tm 0.083 0.132 0.500 (multiplicity 4)
Tm 0.172 0.863 0.000 (multiplicity 4)

***

(9)
A plane-wave DFT calculation with GGA-PBE was carried out for a geometry-optimized GaRe structure.

## Properties
energy relative to the elements	3.8	eV per formula unit
DOS at the Fermi energy	6.2	states/eV per cell

Lattice parameters (Å, degrees): 5.728 5.728 5.728 90.00 90.00 90.00
Space group F-43m (No. 216)
Inequivalent atoms, fractional coordinates:
Ga 0.000 0.000 0.000 (multiplicity 4)
Re 0.250 0.250 0.750 (multiplicity 4)

***

(10)
A plane-wave DFT calculation with GGA-PBE was carried out for a geometry-optimized MgP structure.

## Properties
energy relative to the elements	0.2	eV per formula unit
DOS at the Fermi energy	9.0	states/eV per cell

Lattice parameters (Å, degrees): 7.211 7.211 7.211 90.00 90.00 90.00
Space group Pm-3n (No. 223)
Inequivalent atoms, fractional coordinates:
Mg 0.000 0.250 0.500 (multiplicity 6)
P 0.000 0.500 0.250 (multiplicity 6)

***

(11)
A plane-wave DFT calculation with GGA-PBE was carried out for a geometry-optimized LiSi2Cl structure.

## Properties
uncorrected formation energy	-9.0	kcal/mol of atoms
DOS at the Fermi energy	3.0	states/eV per cell

Lattice parameters (Å, degrees): 4.840 4.840 8.185 90.00 90.00 90.00
Space group Cmmm (No. 65)
Inequivalent atoms, fractional coordinates:
Li 0.000 0.000 0.000 (multiplicity 2)
Si 0.247 0.000 0.500 (multiplicity 4)
Cl 0.000 0.500 0.000 (multiplicity 2)

***

(12)
A plane-wave DFT calculation with GGA-PBE was carried out for a geometry-optimized Nd8GaRh2 structure.

## Properties
energy relative to the elements	-3.1	eV per formula unit
DOS at the Fermi energy	24.5	states/eV per cell

Lattice parameters (Å, degrees): 8.684 13.833 5.743 90.00 108.21 90.00
Space group C2/m (No. 12)
Inequivalent atoms, fractional coordinates:
Nd 0.000 0.235 0.000 (multiplicity 4)
Nd 0.115 0.500 0.818 (multiplicity 4)
Nd 0.211 0.123 0.559 (multiplicity 8)
Ga 0.000 0.000 0.000 (multiplicity 2)
Rh 0.000 0.288 0.500 (multiplicity 4)